# MnF4, relaxed, DFT GGA+U
data_MnF4
_chemical_formula_sum 'Mn2 F8'
_space_group_name_H-M_alt 'P 1'
_space_group_IT_number 1
_cell_length_a 6.4311
_cell_length_b 6.4311
_cell_length_c 6.4311
_cell_angle_alpha 130.43
_cell_angle_beta 130.43
_cell_angle_gamma 72.72
loop_
_space_group_symop_operation_xyz
'x,y,z'
loop_
_atom_site_label
_atom_site_type_symbol
_atom_site_fract_x
_atom_site_fract_y
_atom_site_fract_z
_atom_site_occupancy
F1 F 0.4498 0.2878 0.5000 1
F2 F 0.2878 0.7878 0.8380 1
Mn1 Mn 0.0000 0.5000 0.5000 1
F3 F 0.0502 0.5502 0.8380 1
F4 F 0.2122 0.0502 0.5000 1
F5 F 0.7122 0.2122 0.1620 1
F6 F 0.5502 0.7122 0.5000 1
F7 F 0.9498 0.4498 0.1620 1
F8 F 0.7878 0.9498 0.5000 1
Mn2 Mn 0.5000 0.0000 0.5000 1
# Theoretical density, g cm⁻³: 2.89
# Electronic total energy, eV per atom: -4.72
# Crystal system: tetragonal